A plane-wave DFT calculation with PBE was carried out for a relaxed La5Pr2Tm4 crystal.

Results
The calculation puts the total DFT energy (no corrections) at -4.5979 eV/atom. As for the symmetry: C2/m, No. 12. The magnetization comes out at 0.00 μB per formula unit. The formation enthalpy at 0 K is 0.137 eV/atom. For the volume, the calculation gives 35.27 A^3/atom.

Cell: 3.6135 12.3362 9.2856 Å, 106.83 101.22 90.00°
Fractional coordinates of all 11 atoms:
La1 0.8840 0.4824 0.7680
Tm1 0.6700 0.7693 0.3399
Tm2 0.3300 0.2307 0.6601
Tm3 0.0059 0.7499 0.0119
La2 0.1656 0.0089 0.3311
La3 0.8344 0.9911 0.6689
Tm4 0.9941 0.2501 0.9881
La4 0.5000 0.0000 0.0000
La5 0.1160 0.5176 0.2320
Pr1 0.3263 0.7151 0.6525
Pr2 0.6737 0.2849 0.3475

***

A plane-wave DFT calculation with PBE was carried out for a relaxed La3Pr4Tm crystal.

Results
The calculation puts the total DFT energy (no corrections) at -4.6107 eV/atom. As for the symmetry: C2/m, No. 12. The magnetization comes out at 0.00 μB per formula unit. The formation enthalpy at 0 K is 0.186 eV/atom. For the volume, the calculation gives 36.31 A^3/atom.

Cell: 3.5494 6.3083 13.1456 Å, 95.02 97.76 90.00°
Fractional coordinates of all 8 atoms:
Pr1 0.1047 0.2293 0.2093
La1 0.1447 0.7424 0.2893
Pr2 0.2791 0.7567 0.5582
La2 0.0000 0.5000 0.0000
Pr3 0.8953 0.7707 0.7907
La3 0.8553 0.2576 0.7107
Pr4 0.7209 0.2433 0.4418
Tm1 0.5000 0.0000 0.0000

***

A plane-wave DFT calculation with PBE was carried out for a relaxed LaPr6Tm crystal.

Results
The calculation puts the total DFT energy (no corrections) at -4.7421 eV/atom. As for the symmetry: P4/mmm, No. 123. The magnetization comes out at 0.00 μB per formula unit. The formation enthalpy at 0 K is 0.017 eV/atom. For the volume, the calculation gives 35.58 A^3/atom.

Cell: 5.2170 5.2170 10.4590 Å, 90.00 90.00 90.00°
Fractional coordinates of all 8 atoms:
Pr1 0.0000 0.5000 0.2546
Pr2 0.5000 0.5000 0.5000
Pr3 0.5000 0.0000 0.2546
Pr4 0.5000 0.5000 0.0000
Pr5 0.5000 0.0000 0.7454
La1 0.0000 0.0000 0.0000
Tm1 0.0000 0.0000 0.5000
Pr6 0.0000 0.5000 0.7454

***

A plane-wave DFT calculation with PBE was carried out for a relaxed LaPr4Tm10 crystal.

Results
The calculation puts the total DFT energy (no corrections) at -4.1379 eV/atom. As for the symmetry: I4/m, No. 87. The magnetization comes out at 0.00 μB per formula unit. The formation enthalpy at 0 K is 0.446 eV/atom. For the volume, the calculation gives 34.54 A^3/atom.

Cell: 10.7085 8.7782 8.7782 Å, 68.16 52.41 52.41°
Fractional coordinates of all 15 atoms:
Tm1 0.0460 0.3383 0.9092
Tm2 0.0448 0.9092 0.6617
Tm3 0.2935 0.6617 0.0908
Pr1 0.5475 0.6692 0.2358
Pr2 0.4525 0.3308 0.7642
La1 0.0000 0.0000 0.0000
Tm4 0.3843 0.9092 0.6617
Tm5 0.9540 0.6617 0.0908
Pr3 0.7833 0.7642 0.6692
Tm6 0.9552 0.0908 0.3383
Tm7 0.6157 0.0908 0.3383
Tm8 0.7500 0.5000 0.5000
Tm9 0.7065 0.3383 0.9092
Pr4 0.2167 0.2358 0.3308
Tm10 0.2500 0.5000 0.5000

***

A plane-wave DFT calculation with PBE was carried out for a relaxed LaPr2Tm crystal.

Results
The calculation puts the total DFT energy (no corrections) at -4.5973 eV/atom. As for the symmetry: Fm-3m, No. 225. The magnetization comes out at 0.01 μB per formula unit. The formation enthalpy at 0 K is 0.142 eV/atom. For the volume, the calculation gives 35.21 A^3/atom.

Cell: 5.8397 5.8397 5.8397 Å, 60.00 60.00 60.00°
Fractional coordinates of all 4 atoms:
Pr1 0.2500 0.2500 0.2500
Pr2 0.7500 0.7500 0.7500
Tm1 0.0000 0.0000 0.0000
La1 0.5000 0.5000 0.5000

***

A plane-wave DFT calculation with PBE was carried out for a relaxed La4Pr8Tm crystal.

Results
The calculation puts the total DFT energy (no corrections) at -4.4449 eV/atom. As for the symmetry: R-3m, No. 166. The magnetization comes out at 0.00 μB per formula unit. The formation enthalpy at 0 K is 0.356 eV/atom. For the volume, the calculation gives 37.78 A^3/atom.

Cell: 11.9477 11.9477 7.9602 Å, 90.00 138.63 120.00°
Fractional coordinates of all 13 atoms:
Pr1 0.1681 0.3326 0.0036
La1 0.5000 0.5000 0.0000
Pr2 0.5212 0.7606 0.2818
Pr3 0.8319 0.6674 0.9964
La2 0.0000 0.0000 0.0000
Pr4 0.3291 0.1645 0.9964
Pr5 0.6709 0.8355 0.0036
La3 0.5000 0.0000 0.0000
Pr6 0.1681 0.8354 0.0035
Pr7 0.8319 0.1646 0.9965
La4 0.0000 0.5000 0.0000
Tm1 0.0000 0.5000 0.5000
Pr8 0.4788 0.2394 0.7182